The following is a GGA-PBEsol calculation of a relaxed structure of Zr3Cr, from Alexandria.

Cell: 3.129 4.271 5.833 Å, 90.00 102.95 90.00°
Positions (direct):
Zr1 0.000 0.000 0.000
Zr2 0.313 0.500 0.725
Zr3 0.687 0.500 0.275
Cr1 0.500 0.000 0.500

Its total energy is -9.1276 eV per atom. The calculation puts the density of states at the Fermi level at 6.40 states/eV/f.u.